Material: Li8Tl2Hg
Method: DFT, PBE
State: relaxed

```
Li8Tl2Hg
1.0
2.292 1.323 10.347
-2.292 1.323 10.347
0.000 -2.646 10.347
Li Tl Hg
8 2 1
Direct
0.088 0.088 0.088
0.178 0.178 0.178
0.269 0.269 0.269
0.361 0.361 0.361
0.639 0.639 0.639
0.731 0.731 0.731
0.822 0.822 0.822
0.912 0.912 0.912
0.451 0.451 0.451
0.549 0.549 0.549
0.000 0.000 0.000
```

Properties
VASP energy, eV/atom: -2.090
Space-group type: R-3m (166)



Material: LiTlHg2
Method: DFT, PBE
State: relaxed

```
LiTlHg2
1.0
0.000 3.629 3.629
3.629 0.000 3.629
3.629 3.629 0.000
Li Tl Hg
1 1 2
Direct
0.000 0.000 0.000
0.750 0.750 0.750
0.250 0.250 0.250
0.500 0.500 0.500
```

Properties
VASP energy, eV/atom: -1.343
Space-group type: F-43m (216)



Material: Li5TlHg4
Method: DFT, PBE
State: relaxed

```
Li5TlHg4
1.0
3.336 0.000 0.000
0.000 3.336 0.000
0.000 0.000 16.689
Li Tl Hg
5 1 4
Direct
0.000 0.000 0.000
0.000 0.000 0.195
0.000 0.000 0.388
0.000 0.000 0.612
0.000 0.000 0.805
0.500 0.500 0.500
0.500 0.500 0.097
0.500 0.500 0.293
0.500 0.500 0.707
0.500 0.500 0.903
```

Properties
VASP energy, eV/atom: -1.653
Space-group type: P4/mmm (123)



Material: Li8TlHg2
Method: DFT, PBE
State: relaxed

```
Li8TlHg2
1.0
3.934 -2.273 0.000
3.934 2.273 0.000
-2.601 0.000 10.336
Li Tl Hg
8 1 2
Direct
0.090 0.090 0.271
0.180 0.180 0.541
0.272 0.272 0.816
0.363 0.363 0.090
0.637 0.637 0.910
0.728 0.728 0.184
0.820 0.820 0.459
0.910 0.910 0.729
0.000 0.000 0.000
0.451 0.451 0.354
0.549 0.549 0.646
```

Properties
VASP energy, eV/atom: -1.918
Space-group type: C2/m (12)



Material: LiTmTlHg
Method: DFT, PBE
State: relaxed

```
LiTmTlHg
1.0
0.000 3.567 3.567
3.567 0.000 3.567
3.567 3.567 0.000
Li Tm Tl Hg
1 1 1 1
Direct
0.000 0.000 0.000
0.500 0.500 0.500
0.250 0.250 0.250
0.750 0.750 0.750
```

Properties
VASP energy, eV/atom: -2.629
Space-group type: F-43m (216)
Spin magnetization, μB/atom: 0.00



Material: Li4TlZn2Hg
Method: DFT, PBE
State: relaxed

```
Li4TlZn2Hg
1.0
4.555 0.000 0.000
0.000 4.555 0.000
0.000 0.000 6.435
Li Tl Zn Hg
4 1 2 1
Direct
0.000 0.000 0.000
0.000 0.500 0.244
0.500 0.000 0.756
0.500 0.500 0.500
0.000 0.000 0.500
0.000 0.500 0.759
0.500 0.000 0.241
0.500 0.500 0.000
```

Properties
VASP energy, eV/atom: -1.849
Space-group type: P-4m2 (115)